No. 1
First-principles (PBE) data for an optimized crystal structure of La2YMn2, as listed in the Alexandria database.

Structure (POSCAR):
```
La2YMn2
1.0
7.975 0.000 0.000
0.000 7.975 0.000
0.000 0.000 4.241
La Y Mn
4 2 4
Direct
0.168 0.332 0.000
0.332 0.832 0.000
0.668 0.168 0.000
0.832 0.668 0.000
0.000 0.000 0.500
0.500 0.500 0.500
0.120 0.620 0.500
0.380 0.120 0.500
0.620 0.880 0.500
0.880 0.380 0.500
```

Output
For the energy of formation from the pure elements, the calculation gives 0.23 eV/atom. For the density, the calculation gives 5.87 Mg/m³. The density of states at the Fermi level is 1.061 states/eV per atom. Its symmetry is P4/mbm, No. 127. Its total magnetization is 0.975 μB per atom.



No. 2
First-principles (PBE) data for an optimized crystal structure of Rb2BaVS4, as listed in the Alexandria database.

Structure (POSCAR):
```
Rb2BaVS4
1.0
8.905 0.000 0.000
0.000 9.540 0.000
0.000 0.000 6.598
Rb Ba V S
4 2 2 8
Direct
0.211 0.141 0.000
0.289 0.859 0.500
0.711 0.859 0.500
0.789 0.141 0.000
0.000 0.404 0.486
0.500 0.596 0.986
0.000 0.684 0.923
0.500 0.316 0.423
0.000 0.452 0.990
0.000 0.704 0.592
0.214 0.792 0.016
0.286 0.208 0.516
0.500 0.296 0.092
0.500 0.548 0.490
0.714 0.208 0.516
0.786 0.792 0.016
```

Output
For the density, the calculation gives 2.89 Mg/m³. The calculation puts the total energy at -78.7 eV per cell. The density of states at the Fermi level is 0.720 states/eV per atom. Its symmetry is Pmn2_1, No. 31. Its total magnetization is 0.125 μB per atom.



No. 3
First-principles (PBE) data for an optimized crystal structure of LiTaGa2, as listed in the Alexandria database.

Structure (POSCAR):
```
LiTaGa2
1.0
1.463 0.844 9.134
-1.463 0.844 9.134
0.000 -1.689 9.134
Li Ta Ga
1 1 2
Direct
0.000 0.000 0.000
0.500 0.500 0.500
0.251 0.251 0.251
0.749 0.749 0.749
```

Output
For the energy of formation from the pure elements, the calculation gives -0.11 eV/atom. For the density, the calculation gives 8.03 Mg/m³. The density of states at the Fermi level is 0.821 states/eV per atom. Its symmetry is R-3m, No. 166. The energy relative to the lowest polymorph listed for this composition is 103 meV/atom. Its total magnetization is 0.000 μB per atom.



No. 4
First-principles (PBE) data for an optimized crystal structure of DyTlIn, as listed in the Alexandria database.

Structure (POSCAR):
```
DyTlIn
1.0
5.013 0.000 0.000
-2.507 4.341 0.000
0.000 0.000 3.676
Dy Tl In
1 1 1
Direct
0.000 0.000 0.000
0.333 0.667 0.362
0.667 0.333 0.593
```

Output
For the energy of formation from the pure elements, the calculation gives -0.28 eV/atom. For the density, the calculation gives 10.00 Mg/m³. The density of states at the Fermi level is 0.298 states/eV per atom. Its symmetry is P3m1, No. 156. The energy relative to the lowest polymorph listed for this composition is 0 meV/atom. Its total magnetization is 0.000 μB per atom.



No. 5
First-principles (PBE) data for an optimized crystal structure of TiReAs2, as listed in the Alexandria database.

Structure (POSCAR):
```
TiReAs2
1.0
1.950 1.126 5.136
-1.950 1.126 5.136
0.000 -2.252 5.136
Ti Re As
1 1 2
Direct
0.000 0.000 0.000
0.500 0.500 0.500
0.243 0.243 0.243
0.757 0.757 0.757
```

Output
For the energy of formation from the pure elements, the calculation gives -0.01 eV/atom. For the density, the calculation gives 9.42 Mg/m³. The density of states at the Fermi level is 0.983 states/eV per atom. Its symmetry is R-3m, No. 166. The energy relative to the lowest polymorph listed for this composition is 166 meV/atom. Its total magnetization is 0.000 μB per atom.



No. 6
First-principles (PBE) data for an optimized crystal structure of Ac2TbMgO6, as listed in the Alexandria database.

Structure (POSCAR):
```
Ac2TbMgO6
1.0
5.913 0.000 0.000
0.000 6.065 0.000
-5.801 0.000 8.428
Ac Tb Mg O
4 2 2 12
Direct
0.234 0.049 0.249
0.234 0.451 0.749
0.766 0.549 0.251
0.766 0.951 0.751
0.500 0.000 0.000
0.500 0.500 0.500
0.000 0.000 0.500
0.000 0.500 0.000
0.137 0.209 0.943
0.137 0.291 0.443
0.233 0.697 0.943
0.233 0.803 0.443
0.347 0.043 0.742
0.347 0.457 0.242
0.653 0.543 0.758
0.653 0.957 0.258
0.767 0.197 0.557
0.767 0.303 0.057
0.863 0.709 0.557
0.863 0.791 0.057
```

Output
For the density, the calculation gives 8.06 Mg/m³. The calculation puts the total energy at -148.2 eV per cell. The density of states at the Fermi level is 0.879 states/eV per atom. Its symmetry is P2_1/c, No. 14. Its total magnetization is 0.107 μB per atom.



No. 7
First-principles (PBE) data for an optimized crystal structure of Hf6Bi3S, as listed in the Alexandria database.

Structure (POSCAR):
```
Hf6Bi3S
1.0
5.874 -7.208 0.000
5.874 7.208 0.000
0.000 0.000 5.471
Hf Bi S
12 6 2
Direct
0.026 0.974 0.500
0.068 0.597 0.626
0.253 0.747 0.166
0.269 0.430 0.222
0.403 0.932 0.626
0.430 0.269 0.722
0.570 0.731 0.222
0.597 0.068 0.126
0.731 0.570 0.722
0.747 0.253 0.666
0.932 0.403 0.126
0.974 0.026 0.000
0.108 0.294 0.725
0.294 0.108 0.225
0.400 0.600 0.723
0.600 0.400 0.223
0.706 0.892 0.725
0.892 0.706 0.225
0.145 0.855 0.818
0.855 0.145 0.318
```

Output
For the density, the calculation gives 12.40 Mg/m³. The calculation puts the total energy at -155.1 eV per cell. The density of states at the Fermi level is 0.739 states/eV per atom. Its symmetry is Cmc2_1, No. 36. Its total magnetization is 0.000 μB per atom.



No. 8
First-principles (PBE) data for an optimized crystal structure of InSbPb, as listed in the Alexandria database.

Structure (POSCAR):
```
InSbPb
1.0
2.931 -4.585 0.000
2.931 4.585 0.000
0.000 0.000 6.760
In Sb Pb
2 2 2
Direct
0.008 0.992 0.500
0.992 0.008 0.000
0.321 0.679 0.220
0.679 0.321 0.720
0.332 0.668 0.752
0.668 0.332 0.252
```

Output
For the density, the calculation gives 8.11 Mg/m³. The density of states at the Fermi level is 0.269 states/eV per atom. Its symmetry is Cmc2_1, No. 36. The energy relative to the lowest polymorph listed for this composition is 3 meV/atom. Its total magnetization is 0.000 μB per atom.



No. 9
First-principles (PBE) data for an optimized crystal structure of Ba2SiTe4, as listed in the Alexandria database.

Structure (POSCAR):
```
Ba2SiTe4
1.0
7.668 0.000 0.000
0.000 7.691 0.000
-3.072 0.000 9.214
Ba Si Te
4 2 8
Direct
0.225 0.250 0.053
0.269 0.250 0.570
0.731 0.750 0.430
0.775 0.750 0.947
0.213 0.750 0.796
0.787 0.250 0.204
0.004 0.506 0.265
0.004 0.994 0.265
0.377 0.750 0.066
0.404 0.750 0.625
0.596 0.250 0.375
0.623 0.250 0.934
0.996 0.006 0.735
0.996 0.494 0.735
```

Output
For the density, the calculation gives 4.97 Mg/m³. The calculation puts the total energy at -58.5 eV per cell. Its symmetry is P2_1/m, No. 11. Its total magnetization is 0.000 μB per atom.



No. 10
First-principles (PBE) data for an optimized crystal structure of PmMgAs, as listed in the Alexandria database.

Structure (POSCAR):
```
PmMgAs
1.0
0.000 5.127 6.811
4.913 0.000 6.811
4.913 5.127 0.000
Pm Mg As
4 4 4
Direct
0.025 0.025 0.725
0.275 0.275 0.975
0.725 0.725 0.025
0.975 0.975 0.275
0.000 0.500 0.500
0.500 0.000 0.500
0.500 0.500 0.000
0.500 0.500 0.500
0.094 0.656 0.656
0.344 0.906 0.906
0.656 0.094 0.094
0.906 0.344 0.344
```

Output
For the energy of formation from the pure elements, the calculation gives -0.58 eV/atom. For the density, the calculation gives 4.73 Mg/m³. The density of states at the Fermi level is 0.806 states/eV per atom. Its symmetry is Fddd, No. 70. The energy relative to the lowest polymorph listed for this composition is 188 meV/atom. Its total magnetization is 0.000 μB per atom.



No. 11
First-principles (PBE) data for an optimized crystal structure of Li3Pm3UTe8, as listed in the Alexandria database.

Structure (POSCAR):
```
Li3Pm3UTe8
1.0
4.430 2.558 7.077
-4.430 2.558 7.077
0.000 -5.116 7.077
Li Pm U Te
3 3 1 8
Direct
0.000 0.500 0.500
0.500 0.000 0.500
0.500 0.500 0.000
0.000 0.000 0.500
0.000 0.500 0.000
0.500 0.000 0.000
0.500 0.500 0.500
0.252 0.252 0.741
0.252 0.741 0.252
0.254 0.254 0.254
0.259 0.748 0.748
0.741 0.252 0.252
0.746 0.746 0.746
0.748 0.259 0.748
0.748 0.748 0.259
```

Output
For the density, the calculation gives 5.92 Mg/m³. The calculation puts the total energy at -73.7 eV per cell. The density of states at the Fermi level is 0.343 states/eV per atom. Its symmetry is R-3m, No. 166. Its total magnetization is 0.133 μB per atom.